Computed, not measured: an optimized crystal structure of YBeNi2 at the GGA-PBE level of DFT. Values from VASP.

Properties
As for the total energy: -5.5116 eV/atom. The calculation puts the formation energy at -0.294 eV/f.u. The space group is Imm2.

The structure in Quantum ESPRESSO input format:
```
&SYSTEM
  ibrav = 0, nat = 4, ntyp = 3
/
ATOMIC_SPECIES
Ni 58.69 Ni.upf
Be 9.01 Be.upf
Y 88.91 Y.upf
ATOMIC_POSITIONS crystal
Ni 0.759 0.259 0.500
Ni 0.032 0.032 0.000
Be 0.218 0.718 0.500
Y 0.491 0.491 0.000
CELL_PARAMETERS angstrom
4.946 0.015 0.000
2.067 4.493 0.000
-3.248 -2.656 2.619
```


Computed, not measured: an optimized crystal structure of Y2Be2Ni at the GGA-PBE level of DFT. Values from VASP.

Properties
As for the total energy: -5.2032 eV/atom. The calculation puts the formation energy at 0.146 eV/f.u. The space group is P4/mbm. The calculation puts the energy above the lowest structure with this stoichiometry at 0.000 eV per atom.

The structure in Quantum ESPRESSO input format:
```
&SYSTEM
  ibrav = 0, nat = 10, ntyp = 3
/
ATOMIC_SPECIES
Be 9.01 Be.upf
Ni 58.69 Ni.upf
Y 88.91 Y.upf
ATOMIC_POSITIONS crystal
Be 0.386 0.886 0.000
Be 0.614 0.114 0.000
Be 0.886 0.614 0.000
Be 0.114 0.386 0.000
Ni 0.000 0.000 0.000
Ni 0.500 0.500 0.000
Y 0.315 0.185 0.500
Y 0.815 0.315 0.500
Y 0.685 0.815 0.500
Y 0.185 0.685 0.500
CELL_PARAMETERS angstrom
6.664 0.000 0.000
0.000 6.664 0.000
0.000 0.000 4.017
```


Computed, not measured: an optimized crystal structure of Y2BeNi2 at the GGA-PBE level of DFT. Values from VASP.

Properties
As for the total energy: -5.8474 eV/atom. The calculation puts the formation energy at -1.020 eV/f.u. The space group is P4/mbm. The calculation puts the energy above the lowest structure with this stoichiometry at 0.130 eV per atom.

The structure in Quantum ESPRESSO input format:
```
&SYSTEM
  ibrav = 0, nat = 10, ntyp = 3
/
ATOMIC_SPECIES
Ni 58.69 Ni.upf
Be 9.01 Be.upf
Y 88.91 Y.upf
ATOMIC_POSITIONS crystal
Ni 0.624 0.124 0.000
Ni 0.124 0.376 0.000
Ni 0.876 0.624 0.000
Ni 0.376 0.876 0.000
Be 0.000 0.000 0.000
Be 0.500 0.500 0.000
Y 0.682 0.818 0.500
Y 0.818 0.318 0.500
Y 0.182 0.682 0.500
Y 0.318 0.182 0.500
CELL_PARAMETERS angstrom
-3.560 -5.826 -0.541
3.153 -1.377 -5.922
2.789 -1.883 1.923
```


Computed, not measured: an optimized crystal structure of YBe4Ni4 at the GGA-PBE level of DFT. Values from VASP.

Properties
As for the total energy: -5.2139 eV/atom. The calculation puts the formation energy at -2.431 eV/f.u. The space group is P4_2/n.

The structure in Quantum ESPRESSO input format:
```
&SYSTEM
  ibrav = 0, nat = 18, ntyp = 3
/
ATOMIC_SPECIES
Ni 58.69 Ni.upf
Be 9.01 Be.upf
Y 88.91 Y.upf
ATOMIC_POSITIONS crystal
Ni 0.087 0.122 0.622
Ni 0.913 0.622 0.878
Ni 0.587 0.122 0.378
Ni 0.913 0.378 0.122
Ni 0.413 0.622 0.122
Ni 0.087 0.878 0.378
Ni 0.587 0.878 0.622
Ni 0.413 0.378 0.878
Be 0.076 0.201 0.342
Be 0.076 0.799 0.658
Be 0.576 0.842 0.299
Be 0.424 0.701 0.842
Be 0.924 0.658 0.201
Be 0.924 0.342 0.799
Be 0.576 0.158 0.701
Be 0.424 0.299 0.158
Y 0.000 0.000 0.000
Y 0.500 0.500 0.500
CELL_PARAMETERS angstrom
-1.810 0.625 -3.619
-6.476 -1.380 3.000
-0.761 7.050 1.599
```


Computed, not measured: an optimized crystal structure of YBeZn6Ni at the GGA-PBE level of DFT. Values from VASP.

Properties
As for the total energy: -2.5704 eV/atom. The calculation puts the formation energy at 0.481 eV/f.u. The space group is Imma.

The structure in Quantum ESPRESSO input format:
```
&SYSTEM
  ibrav = 0, nat = 18, ntyp = 4
/
ATOMIC_SPECIES
Y 88.91 Y.upf
Zn 65.41 Zn.upf
Be 9.01 Be.upf
Ni 58.69 Ni.upf
ATOMIC_POSITIONS crystal
Y 0.300 0.550 0.600
Y 0.700 0.450 0.400
Zn 0.415 0.165 0.830
Zn 0.324 0.117 0.247
Zn 0.676 0.883 0.753
Zn 0.001 0.751 0.002
Zn 0.585 0.835 0.170
Zn 0.999 0.249 0.998
Zn 0.324 0.629 0.247
Zn 0.676 0.371 0.753
Zn 0.923 0.117 0.247
Zn 0.077 0.371 0.753
Zn 0.077 0.883 0.753
Zn 0.923 0.629 0.247
Be 0.500 0.000 0.000
Be 0.500 0.500 0.000
Ni 0.000 0.000 0.500
Ni 0.500 0.000 0.500
CELL_PARAMETERS angstrom
6.656 0.000 0.000
0.000 8.240 0.000
-3.328 -4.120 5.400
```


Computed, not measured: an optimized crystal structure of Y2BeZn3Ni12 at the GGA-PBE level of DFT. Values from VASP.

Properties
As for the total energy: -4.9371 eV/atom. The calculation puts the formation energy at 0.985 eV/f.u. The space group is R-3m.

The structure in Quantum ESPRESSO input format:
```
&SYSTEM
  ibrav = 0, nat = 18, ntyp = 4
/
ATOMIC_SPECIES
Ni 58.69 Ni.upf
Zn 65.41 Zn.upf
Y 88.91 Y.upf
Be 9.01 Be.upf
ATOMIC_POSITIONS crystal
Ni 0.071 0.071 0.662
Ni 0.929 0.929 0.338
Ni 0.071 0.662 0.071
Ni 0.814 0.425 0.425
Ni 0.929 0.338 0.929
Ni 0.425 0.814 0.425
Ni 0.425 0.425 0.814
Ni 0.575 0.575 0.186
Ni 0.186 0.575 0.575
Ni 0.575 0.186 0.575
Ni 0.338 0.929 0.929
Ni 0.662 0.071 0.071
Zn 0.000 0.000 0.500
Zn 0.500 0.000 0.000
Zn 0.000 0.500 0.000
Y 0.343 0.343 0.343
Y 0.657 0.657 0.657
Be 0.000 0.000 0.000
CELL_PARAMETERS angstrom
8.604 1.501 1.065
5.554 6.740 1.065
5.554 3.233 6.009
```


Computed, not measured: an optimized crystal structure of BeZn2Ni9 at the GGA-PBE level of DFT. Values from VASP.

Properties
As for the total energy: -4.9833 eV/atom. The calculation puts the formation energy at -1.493 eV/f.u. The space group is P4/mmm.

The structure in Quantum ESPRESSO input format:
```
&SYSTEM
  ibrav = 0, nat = 12, ntyp = 3
/
ATOMIC_SPECIES
Ni 58.69 Ni.upf
Zn 65.41 Zn.upf
Be 9.01 Be.upf
ATOMIC_POSITIONS crystal
Ni 0.000 0.500 0.155
Ni 0.500 0.500 0.328
Ni 0.000 0.500 0.500
Ni 0.500 0.000 0.500
Ni 0.000 0.500 0.845
Ni 0.500 0.000 0.155
Ni 0.500 0.500 0.672
Ni 0.500 0.500 0.000
Ni 0.500 0.000 0.845
Zn 0.000 0.000 0.328
Zn 0.000 0.000 0.672
Be 0.000 0.000 0.000
CELL_PARAMETERS angstrom
3.540 0.000 0.000
0.000 3.540 0.000
0.000 0.000 10.542
```


Computed, not measured: an optimized crystal structure of Be3ZnNi at the GGA-PBE level of DFT. Values from VASP.

Properties
As for the total energy: -3.2056 eV/atom. The calculation puts the formation energy at 2.206 eV/f.u. The space group is Pm-3m. The calculation puts the energy above the lowest structure with this stoichiometry at 0.000 eV per atom.

The structure in Quantum ESPRESSO input format:
```
&SYSTEM
  ibrav = 0, nat = 5, ntyp = 3
/
ATOMIC_SPECIES
Be 9.01 Be.upf
Zn 65.41 Zn.upf
Ni 58.69 Ni.upf
ATOMIC_POSITIONS crystal
Be 0.000 0.000 0.500
Be 0.000 0.500 0.000
Be 0.500 0.000 0.000
Zn 0.500 0.500 0.500
Ni 0.000 0.000 0.000
CELL_PARAMETERS angstrom
3.983 0.000 0.000
0.000 3.983 0.000
0.000 0.000 3.983
```


Computed, not measured: an optimized crystal structure of Be2ZnNi at the GGA-PBE level of DFT. Values from VASP.

Properties
As for the total energy: -3.3276 eV/atom. The calculation puts the formation energy at 1.197 eV/f.u. The space group is I-42d.

The structure in Quantum ESPRESSO input format:
```
&SYSTEM
  ibrav = 0, nat = 8, ntyp = 3
/
ATOMIC_SPECIES
Zn 65.41 Zn.upf
Ni 58.69 Ni.upf
Be 9.01 Be.upf
ATOMIC_POSITIONS crystal
Zn 0.000 0.000 0.000
Zn 0.750 0.250 0.500
Ni 0.250 0.750 0.500
Ni 0.500 0.500 0.000
Be 0.375 0.404 0.750
Be 0.875 0.846 0.750
Be 0.154 0.625 0.250
Be 0.596 0.125 0.250
CELL_PARAMETERS angstrom
3.381 0.000 0.000
0.000 3.381 0.000
1.690 1.690 7.994
```


Computed, not measured: an optimized crystal structure of BeZnNi2 at the GGA-PBE level of DFT. Values from VASP.

Properties
As for the total energy: -4.3028 eV/atom. The calculation puts the formation energy at -0.648 eV/f.u. The space group is I-4m2.

The structure in Quantum ESPRESSO input format:
```
&SYSTEM
  ibrav = 0, nat = 4, ntyp = 3
/
ATOMIC_SPECIES
Ni 58.69 Ni.upf
Zn 65.41 Zn.upf
Be 9.01 Be.upf
ATOMIC_POSITIONS crystal
Ni 0.250 0.750 0.500
Ni 0.000 0.000 0.000
Zn 0.500 0.500 0.000
Be 0.750 0.250 0.500
CELL_PARAMETERS angstrom
-2.342 -3.623 0.343
-1.051 -1.504 -3.919
3.765 1.222 1.749
```


Computed, not measured: an optimized crystal structure of Be2ZnNi at the GGA-PBE level of DFT. Values from VASP.

Properties
As for the total energy: -3.7941 eV/atom. The calculation puts the formation energy at -0.669 eV/f.u. The space group is Imm2.

The structure in Quantum ESPRESSO input format:
```
&SYSTEM
  ibrav = 0, nat = 4, ntyp = 3
/
ATOMIC_SPECIES
Zn 65.41 Zn.upf
Be 9.01 Be.upf
Ni 58.69 Ni.upf
ATOMIC_POSITIONS crystal
Zn 0.249 0.749 0.500
Be 0.749 0.249 0.500
Be 0.992 0.992 0.000
Ni 0.510 0.510 0.000
CELL_PARAMETERS angstrom
4.390 -0.019 -0.038
1.915 3.951 0.038
-2.932 -2.320 2.302
```


Computed, not measured: an optimized crystal structure of BeZnNi2 at the GGA-PBE level of DFT. Values from VASP.

Properties
As for the total energy: -4.3896 eV/atom. The calculation puts the formation energy at -0.996 eV/f.u. The space group is Cmmm.

The structure in Quantum ESPRESSO input format:
```
&SYSTEM
  ibrav = 0, nat = 4, ntyp = 3
/
ATOMIC_SPECIES
Ni 58.69 Ni.upf
Be 9.01 Be.upf
Zn 65.41 Zn.upf
ATOMIC_POSITIONS crystal
Ni 0.500 0.000 0.500
Ni 0.000 0.000 0.000
Be 0.500 0.500 0.000
Zn 0.000 0.500 0.500
CELL_PARAMETERS angstrom
-1.799 5.584 0.731
0.542 -2.706 2.939
1.699 1.656 1.215
```


Computed, not measured: an optimized crystal structure of BeZnNi2 at the GGA-PBE level of DFT. Values from VASP.

Properties
As for the total energy: -4.0714 eV/atom. The calculation puts the formation energy at 0.277 eV/f.u. The space group is I-42d.

The structure in Quantum ESPRESSO input format:
```
&SYSTEM
  ibrav = 0, nat = 8, ntyp = 3
/
ATOMIC_SPECIES
Zn 65.41 Zn.upf
Ni 58.69 Ni.upf
Be 9.01 Be.upf
ATOMIC_POSITIONS crystal
Zn 0.000 0.000 0.000
Zn 0.750 0.250 0.500
Ni 0.375 0.419 0.750
Ni 0.875 0.831 0.750
Ni 0.581 0.125 0.250
Ni 0.169 0.625 0.250
Be 0.250 0.750 0.500
Be 0.500 0.500 0.000
CELL_PARAMETERS angstrom
6.150 0.000 0.000
0.000 6.150 0.000
3.075 3.075 2.417
```


Computed, not measured: an optimized crystal structure of BeZnNi4 at the GGA-PBE level of DFT. Values from VASP.

Properties
As for the total energy: -4.9073 eV/atom. The calculation puts the formation energy at -1.318 eV/f.u. The space group is P4/mmm. The calculation puts the energy above the lowest structure with this stoichiometry at 0.000 eV per atom.

The structure in Quantum ESPRESSO input format:
```
&SYSTEM
  ibrav = 0, nat = 6, ntyp = 3
/
ATOMIC_SPECIES
Be 9.01 Be.upf
Ni 58.69 Ni.upf
Zn 65.41 Zn.upf
ATOMIC_POSITIONS crystal
Be 0.500 0.500 0.500
Ni 0.000 0.000 0.638
Ni 0.500 0.500 0.185
Ni 0.500 0.500 0.815
Ni 0.000 0.000 0.362
Zn 0.000 0.000 0.000
CELL_PARAMETERS angstrom
-1.509 1.942 0.705
-1.459 -0.383 -2.067
-5.543 -6.139 5.050
```


Computed, not measured: an optimized crystal structure of BeZn4Ni5 at the GGA-PBE level of DFT. Values from VASP.

Properties
As for the total energy: -4.0521 eV/atom. The calculation puts the formation energy at -2.792 eV/f.u. The space group is P4/mmm.

The structure in Quantum ESPRESSO input format:
```
&SYSTEM
  ibrav = 0, nat = 10, ntyp = 3
/
ATOMIC_SPECIES
Be 9.01 Be.upf
Zn 65.41 Zn.upf
Ni 58.69 Ni.upf
ATOMIC_POSITIONS crystal
Be 0.000 0.000 0.000
Zn 0.000 0.000 0.186
Zn 0.000 0.000 0.605
Zn 0.000 0.000 0.814
Zn 0.000 0.000 0.395
Ni 0.500 0.500 0.500
Ni 0.500 0.500 0.710
Ni 0.500 0.500 0.290
Ni 0.500 0.500 0.920
Ni 0.500 0.500 0.080
CELL_PARAMETERS angstrom
2.670 0.000 0.000
0.000 2.670 0.000
0.000 0.000 16.086
```


Computed, not measured: an optimized crystal structure of BeZnNi at the GGA-PBE level of DFT. Values from VASP.

Properties
As for the total energy: -3.7393 eV/atom. The calculation puts the formation energy at -0.436 eV/f.u. The space group is P3m1. The calculation puts the energy above the lowest structure with this stoichiometry at 0.069 eV per atom.

The structure in Quantum ESPRESSO input format:
```
&SYSTEM
  ibrav = 0, nat = 3, ntyp = 3
/
ATOMIC_SPECIES
Zn 65.41 Zn.upf
Ni 58.69 Ni.upf
Be 9.01 Be.upf
ATOMIC_POSITIONS crystal
Zn 0.333 0.667 0.727
Ni 0.667 0.333 0.284
Be 0.000 0.000 0.990
CELL_PARAMETERS angstrom
3.848 0.000 0.000
-1.924 3.333 0.000
0.000 0.000 2.531
```


Computed, not measured: an optimized crystal structure of Be2ZnNi at the GGA-PBE level of DFT. Values from VASP.

Properties
As for the total energy: -3.8235 eV/atom. The calculation puts the formation energy at -0.786 eV/f.u. The space group is P4/mmm.

The structure in Quantum ESPRESSO input format:
```
&SYSTEM
  ibrav = 0, nat = 4, ntyp = 3
/
ATOMIC_SPECIES
Be 9.01 Be.upf
Ni 58.69 Ni.upf
Zn 65.41 Zn.upf
ATOMIC_POSITIONS crystal
Be 0.000 0.537 0.463
Be 0.000 0.963 0.037
Ni 0.500 0.250 0.250
Zn 0.500 0.750 0.750
CELL_PARAMETERS angstrom
2.737 0.000 0.000
0.000 2.744 -0.007
0.000 2.757 5.359
```


Computed, not measured: an optimized crystal structure of Be2ZnNi at the GGA-PBE level of DFT. Values from VASP.

Properties
As for the total energy: -3.7584 eV/atom. The calculation puts the formation energy at -0.526 eV/f.u. The space group is Pm.

The structure in Quantum ESPRESSO input format:
```
&SYSTEM
  ibrav = 0, nat = 4, ntyp = 3
/
ATOMIC_SPECIES
Be 9.01 Be.upf
Ni 58.69 Ni.upf
Zn 65.41 Zn.upf
ATOMIC_POSITIONS crystal
Be 0.500 0.053 0.266
Be 0.000 0.186 0.006
Ni 0.000 0.464 0.446
Zn 0.500 0.796 0.782
CELL_PARAMETERS angstrom
3.642 0.000 0.000
0.000 2.502 0.002
0.000 1.237 4.427
```


Computed, not measured: an optimized crystal structure of Be2ZnNi at the GGA-PBE level of DFT. Values from VASP.

Properties
As for the total energy: -3.7939 eV/atom. The calculation puts the formation energy at -0.668 eV/f.u. The space group is P4/mmm.

The structure in Quantum ESPRESSO input format:
```
&SYSTEM
  ibrav = 0, nat = 4, ntyp = 3
/
ATOMIC_SPECIES
Ni 58.69 Ni.upf
Be 9.01 Be.upf
Zn 65.41 Zn.upf
ATOMIC_POSITIONS crystal
Ni 0.500 0.000 0.500
Be 0.000 0.000 0.000
Be 0.500 0.500 0.000
Zn 0.000 0.500 0.500
CELL_PARAMETERS angstrom
-1.948 1.039 2.922
-2.706 -2.253 -1.003
1.229 -2.187 1.597
```


Computed, not measured: an optimized crystal structure of BeZnNi2 at the GGA-PBE level of DFT. Values from VASP.

Properties
As for the total energy: -4.2907 eV/atom. The calculation puts the formation energy at -0.600 eV/f.u. The space group is Pmm2.

The structure in Quantum ESPRESSO input format:
```
&SYSTEM
  ibrav = 0, nat = 4, ntyp = 3
/
ATOMIC_SPECIES
Ni 58.69 Ni.upf
Be 9.01 Be.upf
Zn 65.41 Zn.upf
ATOMIC_POSITIONS crystal
Ni 0.500 0.500 0.239
Ni 0.000 0.000 0.974
Be 0.500 0.500 0.787
Zn 0.000 0.000 0.500
CELL_PARAMETERS angstrom
-0.496 -0.202 2.500
-2.256 -2.283 -0.632
3.626 -3.699 0.421
```